# 1
CeMgAg2 | Alexandria via LeMat-Bulk | SCAN | PBEsol geometry; energy of formation from the pure elements = -80.8 kJ/mol of formula units; calculated density = 7.32 Mg/m³
1.0
0.000 3.507 3.507
3.507 0.000 3.507
3.507 3.507 0.000
Ce Mg Ag
1 1 2
Direct
0.000 0.000 0.000
0.500 0.500 0.500
0.250 0.250 0.250
0.750 0.750 0.750

=====

# 2
SrRe2Sb | Alexandria via LeMat-Bulk | SCAN | PBEsol geometry; ΔE_f (raw) = 0.302 eV per atom; calculated density = 11.74 Mg/m³
1.0
3.125 0.000 0.000
0.000 3.125 0.000
0.000 0.000 8.429
Sr Re Sb
1 2 1
Direct
0.000 0.000 0.000
0.000 0.000 0.559
0.500 0.500 0.726
0.500 0.500 0.338

=====

# 3
MgBeBr | Alexandria via LeMat-Bulk | SCAN | PBEsol geometry; ΔE_f (raw) = 0.088 eV per atom; calculated density = 3.30 Mg/m³
1.0
3.431 0.000 0.000
-1.715 2.971 0.000
0.000 0.000 5.596
Mg Be Br
1 1 1
Direct
0.000 0.000 0.000
0.333 0.667 0.693
0.667 0.333 0.407